Below is YOs2Ru after structural relaxation, with properties calculated at the GGA-PBE level.

The calculated formation energy is 0.389 eV/atom. The volume comes out at 67 Å³/f.u. The calculation puts the density of states at the Fermi level at 14.6 states/eV/cell. Its total magnetic moment is 0.0 μB per cell.

It has space group I-4m2 (No. 119), with a = 4.1058 Å, b = 4.1058 Å, c = 7.9284 Å, α = 90.00°, β = 90.00° and γ = 90.00°. The asymmetric unit holds Y at (0.0000, 0.0000, 0.0000), Os at (0.0000, 0.0000, 0.5000), Os at (0.0000, 0.5000, 0.7500) and Ru at (0.0000, 0.5000, 0.2500).